# 1
# Sr2LuNbO6 PBE-GGA optimized geometry
# Total energy, eV/cell: -157.64
data_Sr2LuNbO6
_chemical_formula_sum 'Sr4 Lu2 Nb2 O12'
_cell_length_a 5.815
_cell_length_b 5.881
_cell_length_c 10.084
_cell_angle_alpha 90.00
_cell_angle_beta 125.07
_cell_angle_gamma 90.00
_space_group_name_H-M_alt 'P 1 21/c 1'
_space_group_IT_number 14
loop_
_space_group_symop_operation_xyz
'x,y,z'
'-x,-y,-z'
'-x,y+1/2,-z+1/2'
'x,-y+1/2,z+1/2'
loop_
_atom_site_label
_atom_site_type_symbol
_atom_site_fract_x
_atom_site_fract_y
_atom_site_fract_z
Sr1 Sr 0.243 0.034 0.250
Lu1 Lu 0.500 0.000 0.000
Nb1 Nb 0.000 0.000 0.500
O1 O 0.161 0.224 0.959
O2 O 0.237 0.704 0.961
O3 O 0.315 0.020 0.739

=====

# 2
# KNaTl2 PBE-GGA optimized geometry
# Energy above the most stable polymorph in this dataset, kJ/mol of atoms: 1.3
# ΔH_f (0 K), meV/atom: -54
data_KNaTl2
_chemical_formula_sum 'K2 Na2 Tl4'
_cell_length_a 5.765
_cell_length_b 8.803
_cell_length_c 6.225
_cell_angle_alpha 90.00
_cell_angle_beta 117.51
_cell_angle_gamma 90.00
_space_group_name_H-M_alt 'P 1 21/m 1'
_space_group_IT_number 11
loop_
_space_group_symop_operation_xyz
'x,y,z'
'-x,-y,-z'
'-x,y+1/2,-z'
'x,-y+1/2,z'
loop_
_atom_site_label
_atom_site_type_symbol
_atom_site_fract_x
_atom_site_fract_y
_atom_site_fract_z
K1 K 0.065 0.250 0.128
Na1 Na 0.402 0.250 0.801
Tl1 Tl 0.271 0.577 0.542

=====

# 3
# Tl2MoAs PBE-GGA optimized geometry
# Energy above the most stable polymorph in this dataset, kJ/mol of atoms: 0.0
# ΔH_f (0 K), meV/atom: 167
data_Tl2MoAs
_chemical_formula_sum 'Tl2 Mo1 As1'
_cell_length_a 3.247
_cell_length_b 3.247
_cell_length_c 8.805
_cell_angle_alpha 90.00
_cell_angle_beta 90.00
_cell_angle_gamma 90.00
_space_group_name_H-M_alt 'P 4 m m'
_space_group_IT_number 99
loop_
_space_group_symop_operation_xyz
'x,y,z'
'-y,x,z'
'-x,-y,z'
'y,-x,z'
'-x,y,z'
'y,x,z'
'x,-y,z'
'-y,-x,z'
loop_
_atom_site_label
_atom_site_type_symbol
_atom_site_fract_x
_atom_site_fract_y
_atom_site_fract_z
Tl1 Tl 0.000 0.000 0.000
Tl2 Tl 0.500 0.500 0.332
Mo1 Mo 0.500 0.500 0.751
As1 As 0.000 0.000 0.620

=====

# 4
# LaPmTe2O PBE-GGA optimized geometry
# Total energy, eV/cell: -63.33
data_LaPmTe2O
_chemical_formula_sum 'La2 Pm2 Te4 O2'
_cell_length_a 4.302
_cell_length_b 4.302
_cell_length_c 16.101
_cell_angle_alpha 90.00
_cell_angle_beta 90.00
_cell_angle_gamma 90.00
_space_group_name_H-M_alt 'P 4/n m m'
_space_group_IT_number 129
loop_
_space_group_symop_operation_xyz
'x,y,z'
'-x,-y,-z'
'-y+1/2,x,z'
'y+1/2,-x,-z'
'-x+1/2,-y+1/2,z'
'x+1/2,y+1/2,-z'
'y,-x+1/2,z'
'-y,x+1/2,-z'
'x+1/2,-y,-z'
'-x+1/2,y,z'
'-y,-x,-z'
'y,x,z'
'-x,y+1/2,-z'
'x,-y+1/2,z'
'y+1/2,x+1/2,-z'
'-y+1/2,-x+1/2,z'
loop_
_atom_site_label
_atom_site_type_symbol
_atom_site_fract_x
_atom_site_fract_y
_atom_site_fract_z
La1 La 0.250 0.250 0.070
Pm1 Pm 0.250 0.250 0.632
Te1 Te 0.250 0.250 0.415
Te2 Te 0.250 0.250 0.814
O1 O 0.250 0.750 0.000

=====

# 5
# Sm2Dy3Ho2 PBE-GGA optimized geometry
# Energy above the most stable polymorph in this dataset, kJ/mol of atoms: 0.0
# ΔH_f (0 K), meV/atom: 18
data_Sm2Dy3Ho2
_chemical_formula_sum 'Sm2 Dy3 Ho2'
_cell_length_a 3.561
_cell_length_b 6.154
_cell_length_c 10.687
_cell_angle_alpha 84.47
_cell_angle_beta 89.96
_cell_angle_gamma 73.28
_space_group_name_H-M_alt 'P -1'
_space_group_IT_number 2
loop_
_space_group_symop_operation_xyz
'x,y,z'
'-x,-y,-z'
loop_
_atom_site_label
_atom_site_type_symbol
_atom_site_fract_x
_atom_site_fract_y
_atom_site_fract_z
Sm1 Sm 0.215 0.071 0.356
Dy1 Dy 0.357 0.785 0.929
Dy2 Dy 0.500 0.500 0.500
Ho1 Ho 0.071 0.358 0.788

=====

# 6
# Cs2RbNa PBE-GGA optimized geometry
# Energy above the most stable polymorph in this dataset, kJ/mol of atoms: 1.6
# ΔH_f (0 K), meV/atom: 27
data_Cs2RbNa
_chemical_formula_sum 'Cs8 Rb4 Na4'
_cell_length_a 11.049
_cell_length_b 11.049
_cell_length_c 11.049
_cell_angle_alpha 90.00
_cell_angle_beta 90.00
_cell_angle_gamma 90.00
_space_group_name_H-M_alt 'F m -3 m'
_space_group_IT_number 225
_space_group_name_Hall '-F 4 2 3'
loop_
_atom_site_label
_atom_site_type_symbol
_atom_site_fract_x
_atom_site_fract_y
_atom_site_fract_z
Cs1 Cs 0.250 0.250 0.250
Rb1 Rb 0.000 0.000 0.000
Na1 Na 0.000 0.000 0.500